Entry 1:
{
  "formula": "PmUAsSe",
  "functional": "PBE",
  "state": "relaxed",
  "rho_kg_m3": 9667,
  "e_form_raw_ev_per_atom": -0.956,
  "lattice_angstrom": [[7.1719, 0.0000, 0.0000], [0.0000, 7.1719, 0.0000], [0.0000, 0.0000, 7.1719]],
  "species": ["Pm", "Pm", "Pm", "Pm", "U", "U", "U", "U", "As", "As", "As", "As", "Se", "Se", "Se", "Se"],
  "fractional_positions": [[0.0000, 0.0000, 0.0000], [0.0000, 0.5000, 0.5000], [0.5000, 0.0000, 0.5000], [0.5000, 0.5000, 0.0000], [0.0000, 0.0000, 0.5000], [0.0000, 0.5000, 0.0000], [0.5000, 0.0000, 0.0000], [0.5000, 0.5000, 0.5000], [0.2500, 0.2500, 0.7500], [0.2500, 0.7500, 0.2500], [0.7500, 0.2500, 0.2500], [0.7500, 0.7500, 0.7500], [0.2500, 0.2500, 0.2500], [0.2500, 0.7500, 0.7500], [0.7500, 0.2500, 0.7500], [0.7500, 0.7500, 0.2500]]
}


Entry 2:
{
  "formula": "Li2MgAlH6",
  "functional": "PBE",
  "state": "relaxed",
  "rho_kg_m3": 1266,
  "dft_energy_ev_per_atom": -3.034,
  "lattice_angstrom": [[4.7602, 0.0000, 0.0000], [2.0641, 4.2983, 0.0000], [2.3701, 1.2325, 4.5641]],
  "species": ["Li", "Li", "Mg", "Al", "H", "H", "H", "H", "H", "H"],
  "fractional_positions": [[0.0000, 0.0000, 0.0000], [0.4978, 0.4997, 0.5167], [0.3006, 0.2895, 0.1447], [0.8028, 0.8062, 0.6171], [0.0653, 0.6849, 0.8268], [0.1719, 0.6053, 0.3488], [0.4349, 0.0683, 0.8218], [0.5942, 0.9011, 0.3509], [0.6974, 0.4398, 0.8158], [0.8956, 0.1759, 0.3481]]
}


Entry 3:
{
  "formula": "Mg2ZrSnN4",
  "functional": "PBE",
  "state": "relaxed",
  "rho_kg_m3": 5595,
  "e_form_raw_ev_per_atom": -0.748,
  "lattice_angstrom": [[5.5544, 0.0000, 0.0000], [0.0000, 3.2176, 0.0000], [-1.9027, 0.0000, 5.2239]],
  "species": ["Mg", "Mg", "Zr", "Sn", "N", "N", "N", "N"],
  "fractional_positions": [[0.0000, 0.0000, 0.0000], [0.5000, 0.5000, 0.0000], [0.0000, 0.5000, 0.5000], [0.5000, 0.0000, 0.5000], [0.2421, 0.0000, 0.7442], [0.2573, 0.5000, 0.2580], [0.7427, 0.5000, 0.7420], [0.7579, 0.0000, 0.2558]]
}